1.
GdHgPt: relaxed, PBE.

Cell lengths 3.503, 4.735, 4.735 Å; angles 120.00, 90.00, 90.00 degrees
Site moments in Bohr magnetons follow the coordinates.
Fractional coordinates of all 3 atoms:
1 Gd 0.667 0.667 0.333  7.00
2 Hg 0.167 0.000 0.000  0.01
3 Pt 0.166 0.333 0.667  0.00

Computed properties:
As for the electronic total energy: -22.5 eV for the cell shown. For the total magnetization, the calculation gives 7.2 μB/f.u. As for the density of states at the Fermi level: 2.43 states/eV/cell.


2.
Gd2HgPt: relaxed, PBE.

Cell lengths 5.140, 5.140, 5.140 Å; angles 60.00, 60.00, 60.00 degrees
Site moments in Bohr magnetons follow the coordinates.
Fractional coordinates of all 4 atoms:
1 Gd 0.250 0.250 0.250  -6.99
2 Gd 0.750 0.750 0.750  -6.99
3 Hg 0.000 0.000 0.000  0.01
4 Pt 0.500 0.500 0.500  0.03

Computed properties:
As for the electronic total energy: -37.7 eV for the cell shown. For the total magnetization, the calculation gives 14.2 μB/f.u. As for the density of states at the Fermi level: 2.89 states/eV/cell.


3.
Gd2HgPt: relaxed, PBE.

Cell lengths 3.600, 3.600, 7.475 Å; angles 90.00, 90.00, 90.00 degrees
Site moments in Bohr magnetons follow the coordinates.
Fractional coordinates of all 4 atoms:
1 Gd 0.000 0.000 0.774  7.02
2 Gd 0.000 0.000 0.226  7.02
3 Hg 0.500 0.500 0.500  0.01
4 Pt 0.500 0.500 0.000  -0.01

Computed properties:
As for the electronic total energy: -37.9 eV for the cell shown. For the total magnetization, the calculation gives 14.3 μB/f.u. As for the density of states at the Fermi level: 3.42 states/eV/cell.